(1)
Material: Al4SiPd
Method: DFT, SCAN
State: PBEsol geometry

VASP energy = -12.66 eV/atom
formation energy (no corrections) = -34 kJ per mole of atoms
density = 3.85 g cm⁻³
space group = R-3m, No. 166
Fermi-level density of states = 0.31 states/eV per atom

The structure in POSCAR format:
```
Al4SiPd
1.0
-0.679 -2.211 -3.530
2.776 -2.936 -1.217
-2.674 -6.387 1.991
Al Si Pd
4 1 1
Direct
0.121 0.121 0.637 Al
0.369 0.369 0.892 Al
0.879 0.879 0.363 Al
0.631 0.631 0.108 Al
0.500 0.500 0.500 Si
0.000 0.000 0.000 Pd
```

***

(2)
Material: HfScHg2
Method: DFT, SCAN
State: PBEsol geometry

VASP energy = -53.69 eV/atom
density = 12.67 g cm⁻³
formation energy = -380 meV per atom
space group = Fm-3m, No. 225
Fermi-level density of states = 0.41 states/eV per atom

The structure in POSCAR format:
```
HfScHg2
1.0
4.874 0.000 0.000
2.437 4.221 0.000
2.437 1.407 3.979
Hg Sc Hf
2 1 1
Direct
0.250 0.250 0.250 Hg
0.750 0.750 0.750 Hg
0.000 0.000 0.000 Sc
0.500 0.500 0.500 Hf
```

***

(3)
Material: SrMn2Fe
Method: DFT, SCAN
State: PBEsol geometry

VASP energy = -18.55 eV/atom
density = 6.09 g cm⁻³
formation energy = 674 meV per atom
space group = P4/mmm, No. 123
Fermi-level density of states = 0.45 states/eV per atom

The structure in POSCAR format:
```
SrMn2Fe
1.0
-3.455 1.816 -1.199
-1.843 -3.638 -0.200
-1.174 0.377 3.955
Fe Mn Sr
1 2 1
Direct
0.000 0.000 0.500 Fe
0.500 0.000 0.000 Mn
0.000 0.500 0.000 Mn
0.500 0.500 0.500 Sr
```